Record 1
Computed, not measured: a relaxed structure of Al4Si2Mo at the PBE level of DFT.

Lattice parameters (Å, degrees): 7.2034 7.2034 7.2034 140.39 140.39 57.26
Positions (direct):
Al: 0.0000 0.5000 0.5000
Al: 0.1975 0.1975 0.0000
Al: 0.5000 0.0000 0.5000
Al: 0.8025 0.8025 0.0000
Si: 0.3994 0.3994 0.0000
Si: 0.6006 0.6006 0.0000
Mo: 0.0000 0.0000 0.0000

VASP energy ... -4.55 eV per atom
Theoretical density ... 2.9 g cm⁻³

---

Record 2
Computed, not measured: a relaxed structure of HgSbF2 at the PBE level of DFT.

Lattice parameters (Å, degrees): 8.5478 8.5478 8.5478 150.37 150.37 42.40
Positions (direct):
Hg: 0.0000 0.0000 0.0000
Hg: 0.7500 0.2500 0.5000
Sb: 0.2500 0.7500 0.5000
Sb: 0.5000 0.5000 0.0000
F: 0.2229 0.6250 0.0979
F: 0.3750 0.4729 0.5979
F: 0.5271 0.1250 0.9021
F: 0.8750 0.7771 0.4021

Theoretical density ... 7.9 g cm⁻³
ΔE to the lowest computed polymorph ... 98 meV per atom